First-principles (GGA-PBEsol) data for Y2AlAs after structural relaxation, as listed in Alexandria.

V	99.1	Å³ per cell
DFT total energy	-6.39	eV/atom
space-group type	Pmmm
ΔE_f	-65.6	kJ/mol of atoms

POSCAR file:
```
Y2AlAs
1.0
-2.221 -2.188 2.416
-0.487 -2.944 -3.113
4.772 -2.774 1.876
Y Al As
2 1 1
Cartesian
1.032 -3.952 0.589 Y
0.000 0.000 0.000 Y
2.386 -1.387 0.938 Al
-1.354 -2.566 -0.349 As
```

---

First-principles (GGA-PBEsol) data for MgTaTc2 after structural relaxation, as listed in Alexandria.

V	61.9	Å³ per cell
DFT total energy	-9.04	eV/atom
space-group type	C2/m
ΔE_f	15.1	kJ/mol of atoms

POSCAR file:
```
MgTaTc2
1.0
-0.251 2.574 -0.738
-4.792 -1.772 -0.876
1.145 0.500 5.031
Ta Mg Tc
1 1 2
Cartesian
-0.125 1.287 -0.369 Ta
-1.949 0.651 1.708 Mg
-2.396 -0.886 -0.438 Tc
0.573 0.250 2.515 Tc
```

---

First-principles (GGA-PBEsol) data for BaO6 after structural relaxation, as listed in Alexandria.

V	243.0	Å³ per cell
DFT total energy	-5.49	eV/atom
energy relative to the elements, uncorrected	-66.3	kJ per mole of atoms
space-group type	C2/c

POSCAR file:
```
BaO6
1.0
6.295 -0.125 -0.101
-1.727 6.055 -0.101
-0.220 -0.285 6.421
O Ba
12 2
Cartesian
1.411 5.256 2.793 O
0.232 2.269 3.551 O
4.117 3.376 2.668 O
1.106 0.509 0.756 O
4.249 4.588 2.252 O
3.243 5.136 5.463 O
2.938 0.388 3.426 O
-0.264 3.082 0.215 O
2.104 4.699 5.878 O
4.613 2.563 6.004 O
2.245 0.946 0.341 O
0.100 1.057 3.967 O
4.802 0.912 1.504 Ba
-0.453 4.733 4.715 Ba
```

---

First-principles (GGA-PBEsol) data for Fe2HgP after structural relaxation, as listed in Alexandria.

V	57.2	Å³ per cell
DFT total energy	-5.90	eV/atom
space-group type	Pm
ΔE_f	16.5	kJ/mol of atoms

POSCAR file:
```
Fe2HgP
1.0
2.854 0.000 -0.068
0.000 4.059 0.000
-1.298 0.000 4.966
Hg Fe P
1 2 1
Cartesian
0.600 0.000 2.425 Hg
-0.773 0.000 4.848 Fe
1.986 2.029 0.863 Fe
-0.777 2.029 4.176 P
```

---

First-principles (GGA-PBEsol) data for NbTlGa2 after structural relaxation, as listed in Alexandria.

V	75.8	Å³ per cell
DFT total energy	-4.56	eV/atom
space-group type	Fm-3m
ΔE_f	45.4	kJ/mol of atoms

POSCAR file:
```
NbTlGa2
1.0
4.750 0.000 0.000
2.375 4.113 0.000
2.375 1.371 3.878
Nb Ga Tl
1 2 1
Cartesian
0.000 0.000 0.000 Nb
7.125 4.113 2.909 Ga
2.375 1.371 0.970 Ga
4.750 2.742 1.939 Tl
```

---

First-principles (GGA-PBEsol) data for Y2WF after structural relaxation, as listed in Alexandria.

V	79.1	Å³ per cell
DFT total energy	-7.37	eV/atom
energy relative to the elements, uncorrected	-2.8	kJ per mole of atoms
space-group type	Fm-3m

POSCAR file:
```
Y2WF
1.0
-0.378 -4.024 2.623
-0.053 -4.299 -2.177
3.776 -2.963 0.425
F W Y
1 1 2
Cartesian
0.000 0.000 0.000 F
1.673 -5.643 0.436 W
0.836 -2.821 0.218 Y
2.509 -8.464 0.653 Y
```

---

First-principles (GGA-PBEsol) data for Y2AgBr after structural relaxation, as listed in Alexandria.

V	101.5	Å³ per cell
DFT total energy	-5.28	eV/atom
energy relative to the elements, uncorrected	-55.2	kJ per mole of atoms
space-group type	Imm2

POSCAR file:
```
Y2AgBr
1.0
-0.885 -3.353 0.962
-0.495 -0.912 -3.637
7.854 0.108 0.869
Br Y Ag
1 2 1
Cartesian
2.467 -2.499 0.291 Br
0.566 -0.160 -0.037 Y
4.125 -1.692 -2.104 Y
6.480 -1.832 -0.423 Ag
```

---

First-principles (GGA-PBEsol) data for La2O3 after structural relaxation, as listed in Alexandria.

V	715.9	Å³ per cell
DFT total energy	-8.74	eV/atom
energy relative to the elements, uncorrected	-332.9	kJ per mole of atoms
space-group type	Ia-3

POSCAR file:
```
La2O3
1.0
9.761 0.000 0.000
-3.254 9.203 0.000
-3.254 -4.601 7.970
O La
24 16
Cartesian
0.892 0.903 5.826 O
4.034 2.014 4.068 O
-2.362 -0.007 4.275 O
2.362 3.699 2.144 O
2.473 6.687 3.778 O
0.554 -2.428 7.887 O
-0.554 5.617 6.046 O
-0.780 2.588 3.902 O
0.780 -2.085 4.192 O
-5.480 2.341 7.763 O
8.734 2.260 0.207 O
2.700 7.029 0.083 O
5.480 7.893 1.854 O
5.727 4.530 0.290 O
-2.226 -3.292 6.116 O
4.146 -0.895 5.839 O
2.226 3.651 5.909 O
5.954 1.159 1.841 O
1.027 0.951 2.061 O
5.615 4.609 3.695 O
3.807 -1.015 1.924 O
-2.473 0.072 7.680 O
-0.892 5.497 2.131 O
-2.700 3.443 6.129 O
-1.440 1.018 2.222 La
4.693 3.583 5.748 La
5.068 -3.186 5.977 La
1.440 5.884 1.763 La
4.693 3.186 1.992 La
4.881 0.000 0.000 La
-1.440 1.415 5.977 La
-1.814 4.734 4.214 La
1.814 2.168 7.741 La
-1.627 -2.301 3.985 La
1.814 -1.283 6.207 La
1.627 2.301 3.985 La
5.068 -0.132 3.756 La
1.440 2.433 0.229 La
-1.627 4.601 0.000 La
-1.814 7.788 1.992 La
```

---

> Among the records above, which one has the highest DFT total energy?

NbTlGa2

---

> What is the formula in the first record?

Y2AlAs